Entry 1:
Compound: CaMgCd2Ga2
Source: Alexandria
Functional: PBE
Structure: optimized geometry

a = 4.726 Å, b = 4.726 Å, c = 6.890 Å
α = 90.00°, β = 90.00°, γ = 120.00°
Atoms (fractional coordinates):
Ca  0.000  0.000  0.000
Mg  0.000  0.000  0.500
Cd  0.333  0.667  0.721
Cd  0.667  0.333  0.279
Ga  0.333  0.667  0.241
Ga  0.667  0.333  0.759

Computed properties:
Energy of formation from the pure elements   -0.24 eV per atom


Entry 2:
Compound: Mg2SiNi
Source: Alexandria
Functional: PBE
Structure: optimized geometry

a = 4.830 Å, b = 4.830 Å, c = 3.939 Å
α = 113.78°, β = 113.78°, γ = 47.94°
Atoms (fractional coordinates):
Mg  0.250  0.250  0.249
Mg  0.750  0.750  0.751
Si  0.000  0.000  0.500
Ni  0.500  0.500  0.000

Computed properties:
Final energy   -3.65 eV/atom


Entry 3:
Compound: V2CoRe
Source: Alexandria
Functional: PBE
Structure: optimized geometry

a = 3.015 Å, b = 3.015 Å, c = 5.799 Å
α = 90.00°, β = 90.00°, γ = 90.00°
Atoms (fractional coordinates):
V  0.000  0.000  0.243
V  0.000  0.000  0.757
Co  0.500  0.500  0.000
Re  0.500  0.500  0.500

Computed properties:
Energy of formation from the pure elements   -0.20 eV per atom
E above lowest polymorph   0 meV per atom


Entry 4:
Compound: Zr2CrBr
Source: Alexandria
Functional: PBE
Structure: optimized geometry

a = 4.668 Å, b = 3.179 Å, c = 5.484 Å
α = 90.00°, β = 90.08°, γ = 90.00°
Atoms (fractional coordinates):
Zr  0.000  0.000  0.000
Zr  0.500  0.500  0.500
Cr  0.000  0.000  0.500
Br  0.500  0.500  0.000

Computed properties:
E above lowest polymorph   377 meV per atom


Entry 5:
Compound: TaHgAs2Pd
Source: Alexandria
Functional: PBE
Structure: optimized geometry

a = 4.917 Å, b = 4.917 Å, c = 5.418 Å
α = 90.00°, β = 90.00°, γ = 90.00°
Atoms (fractional coordinates):
Ta  0.000  0.000  0.000
Hg  0.000  0.000  0.500
As  0.000  0.500  0.000
As  0.500  0.000  0.000
Pd  0.500  0.500  0.500

Computed properties:
Energy of formation from the pure elements   0.59 eV per atom


Entry 6:
Compound: Pr2Cd3Pd2
Source: Alexandria
Functional: PBE
Structure: optimized geometry

a = 5.661 Å, b = 5.661 Å, c = 7.772 Å
α = 94.37°, β = 94.37°, γ = 42.39°
Atoms (fractional coordinates):
Pr  0.125  0.125  0.344
Pr  0.875  0.875  0.656
Cd  0.183  0.183  0.872
Cd  0.500  0.500  0.000
Cd  0.817  0.817  0.128
Pd  0.409  0.409  0.359
Pd  0.591  0.591  0.641

Computed properties:
Energy of formation from the pure elements   -0.53 eV per atom
E above lowest polymorph   43 meV per atom


Entry 7:
Compound: PmEr2Tl2Zn2
Source: Alexandria
Functional: PBE
Structure: optimized geometry

a = 9.352 Å, b = 9.352 Å, c = 9.352 Å
α = 29.65°, β = 29.65°, γ = 29.65°
Atoms (fractional coordinates):
Pm  0.000  0.000  0.000
Er  0.132  0.132  0.132
Er  0.868  0.868  0.868
Tl  0.265  0.265  0.265
Tl  0.735  0.735  0.735
Zn  0.427  0.427  0.427
Zn  0.573  0.573  0.573

Computed properties:
Energy of formation from the pure elements   -0.16 eV per atom


Entry 8:
Compound: Li2NiSbH
Source: Alexandria
Functional: PBE
Structure: optimized geometry

a = 3.944 Å, b = 3.944 Å, c = 3.882 Å
α = 90.00°, β = 90.00°, γ = 90.00°
Atoms (fractional coordinates):
Li  0.000  0.500  0.000
Li  0.500  0.000  0.000
Ni  0.000  0.000  0.500
Sb  0.500  0.500  0.500
H  0.000  0.000  0.000

Computed properties:
E above lowest polymorph   0 meV per atom


Entry 9:
Compound: Pr5HoIn4
Source: Alexandria
Functional: PBE
Structure: optimized geometry

a = 3.672 Å, b = 3.672 Å, c = 22.685 Å
α = 90.00°, β = 90.00°, γ = 90.00°
Atoms (fractional coordinates):
Pr  0.000  0.000  0.000
Pr  0.000  0.000  0.194
Pr  0.000  0.000  0.386
Pr  0.000  0.000  0.614
Pr  0.000  0.000  0.806
Ho  0.500  0.500  0.500
In  0.500  0.500  0.097
In  0.500  0.500  0.291
In  0.500  0.500  0.709
In  0.500  0.500  0.903

Computed properties:
Energy of formation from the pure elements   -0.37 eV per atom
E above lowest polymorph   0 meV per atom


Entry 10:
Compound: HoTmSnPt
Source: Alexandria
Functional: PBE
Structure: optimized geometry

a = 5.104 Å, b = 5.104 Å, c = 5.104 Å
α = 60.00°, β = 60.00°, γ = 60.00°
Atoms (fractional coordinates):
Ho  0.000  0.000  0.000
Tm  0.500  0.500  0.500
Sn  0.250  0.250  0.250
Pt  0.750  0.750  0.750

Computed properties:
Energy of formation from the pure elements   -0.86 eV per atom


Entry 11:
Compound: NdDy6Er
Source: Alexandria
Functional: PBE
Structure: optimized geometry

a = 6.536 Å, b = 6.714 Å, c = 6.953 Å
α = 118.20°, β = 104.53°, γ = 90.12°
Atoms (fractional coordinates):
Nd  0.000  0.000  0.000
Dy  0.232  0.576  0.482
Dy  0.253  0.544  0.002
Dy  0.273  0.096  0.528
Dy  0.727  0.904  0.472
Dy  0.747  0.456  0.998
Dy  0.768  0.424  0.518
Er  0.500  0.000  0.000

Computed properties:
Energy of formation from the pure elements   0.20 eV per atom
E above lowest polymorph   182 meV per atom


Entry 12:
Compound: Ac2MgPt
Source: Alexandria
Functional: PBE
Structure: optimized geometry

a = 5.543 Å, b = 5.543 Å, c = 5.543 Å
α = 60.00°, β = 60.00°, γ = 60.00°
Atoms (fractional coordinates):
Ac  0.250  0.250  0.250
Ac  0.750  0.750  0.750
Mg  0.000  0.000  0.000
Pt  0.500  0.500  0.500

Computed properties:
Energy of formation from the pure elements   -0.44 eV per atom
E above lowest polymorph   112 meV per atom


Entry 13:
Compound: PrBe2Fe2C
Source: Alexandria
Functional: PBE
Structure: optimized geometry

a = 3.761 Å, b = 3.761 Å, c = 5.362 Å
α = 90.00°, β = 90.00°, γ = 90.00°
Atoms (fractional coordinates):
Pr  0.000  0.000  0.000
Be  0.500  0.500  0.268
Be  0.500  0.500  0.732
Fe  0.000  0.500  0.500
Fe  0.500  0.000  0.500
C  0.000  0.000  0.500

Computed properties:
Energy of formation from the pure elements   -0.15 eV per atom


Entry 14:
Compound: Ce2PmGe
Source: Alexandria
Functional: PBE
Structure: optimized geometry

a = 5.291 Å, b = 5.291 Å, c = 5.291 Å
α = 60.00°, β = 60.00°, γ = 60.00°
Atoms (fractional coordinates):
Ce  0.250  0.250  0.250
Ce  0.750  0.750  0.750
Pm  0.000  0.000  0.000
Ge  0.500  0.500  0.500

Computed properties:
Energy of formation from the pure elements   -0.09 eV per atom
E above lowest polymorph   379 meV per atom


Entry 15:
Compound: Re2SnH4
Source: Alexandria
Functional: PBE
Structure: optimized geometry

a = 5.935 Å, b = 5.935 Å, c = 5.935 Å
α = 145.08°, β = 145.08°, γ = 50.22°
Atoms (fractional coordinates):
Re  0.148  0.148  0.000
Re  0.852  0.852  0.000
Sn  0.500  0.500  0.000
H  0.000  0.500  0.500
H  0.301  0.301  0.000
H  0.500  0.000  0.500
H  0.699  0.699  0.000

Computed properties:
Final energy   -4.64 eV/atom


Entry 16:
Compound: Cs2NiIrI6
Source: Alexandria
Functional: PBE
Structure: optimized geometry

a = 7.944 Å, b = 7.944 Å, c = 7.944 Å
α = 119.94°, β = 119.94°, γ = 90.10°
Atoms (fractional coordinates):
Cs  0.250  0.750  0.500
Cs  0.750  0.250  0.500
Ni  0.000  0.000  0.000
Ir  0.500  0.500  0.000
I  0.253  0.253  0.000
I  0.254  0.254  0.508
I  0.254  0.746  0.000
I  0.746  0.254  0.000
I  0.746  0.746  0.492
I  0.747  0.747  0.000

Computed properties:
Final energy   -3.06 eV/atom


Entry 17:
Compound: CdNiW2
Source: Alexandria
Functional: PBE
Structure: optimized geometry

a = 2.753 Å, b = 2.753 Å, c = 8.312 Å
α = 90.00°, β = 90.00°, γ = 90.00°
Atoms (fractional coordinates):
Cd  0.000  0.000  0.000
Ni  0.500  0.500  0.243
W  0.000  0.000  0.445
W  0.500  0.500  0.716

Computed properties:
Energy of formation from the pure elements   0.27 eV per atom


Entry 18:
Compound: NdErThMg
Source: Alexandria
Functional: PBE
Structure: optimized geometry

a = 3.605 Å, b = 3.605 Å, c = 9.313 Å
α = 90.00°, β = 90.00°, γ = 90.00°
Atoms (fractional coordinates):
Nd  0.000  0.000  0.000
Er  0.000  0.000  0.482
Th  0.500  0.500  0.735
Mg  0.500  0.500  0.251

Computed properties:
Energy of formation from the pure elements   -0.04 eV per atom
E above lowest polymorph   0 meV per atom


Entry 19:
Compound: Y2MnCo
Source: Alexandria
Functional: PBE
Structure: optimized geometry

a = 3.402 Å, b = 3.435 Å, c = 7.066 Å
α = 90.00°, β = 90.00°, γ = 90.00°
Atoms (fractional coordinates):
Y  0.000  0.000  0.234
Y  0.000  0.000  0.766
Mn  0.500  0.500  0.500
Co  0.500  0.500  0.000

Computed properties:
Energy of formation from the pure elements   0.06 eV per atom
E above lowest polymorph   117 meV per atom


Entry 20:
Compound: MnCd3I8
Source: Alexandria
Functional: PBE
Structure: optimized geometry

a = 8.574 Å, b = 8.574 Å, c = 9.020 Å
α = 118.84°, β = 118.84°, γ = 60.01°
Atoms (fractional coordinates):
Mn  0.000  0.000  0.000
Cd  0.000  0.500  0.000
Cd  0.500  0.000  0.000
Cd  0.500  0.500  0.000
I  0.238  0.238  0.226
I  0.238  0.753  0.226
I  0.247  0.762  0.774
I  0.255  0.255  0.769
I  0.745  0.745  0.231
I  0.753  0.238  0.226
I  0.762  0.247  0.774
I  0.762  0.762  0.774

Computed properties:
Final energy   -2.56 eV/atom


Entry 21:
Compound: Zr2AlSBr
Source: Alexandria
Functional: PBE
Structure: optimized geometry

a = 5.157 Å, b = 5.157 Å, c = 4.732 Å
α = 90.00°, β = 90.00°, γ = 90.00°
Atoms (fractional coordinates):
Zr  0.000  0.500  0.000
Zr  0.500  0.000  0.000
Al  0.000  0.000  0.000
S  0.500  0.500  0.500
Br  0.000  0.000  0.500

Computed properties:
Final energy   -4.73 eV/atom


Entry 22:
Compound: TiTe2N
Source: Alexandria
Functional: PBE
Structure: optimized geometry

a = 8.788 Å, b = 8.788 Å, c = 8.788 Å
α = 21.89°, β = 21.89°, γ = 21.89°
Atoms (fractional coordinates):
Ti  0.000  0.000  0.000
Te  0.104  0.104  0.104
Te  0.896  0.896  0.896
N  0.500  0.500  0.500

Computed properties:
Final energy   -4.59 eV/atom


Entry 23:
Compound: Tl5BO6
Source: Alexandria
Functional: PBE
Structure: optimized geometry

a = 7.174 Å, b = 7.174 Å, c = 6.891 Å
α = 91.06°, β = 91.06°, γ = 129.96°
Atoms (fractional coordinates):
Tl  0.000  0.000  0.000
Tl  0.152  0.848  0.500
Tl  0.294  0.706  0.000
Tl  0.706  0.294  0.000
Tl  0.848  0.152  0.500
B  0.500  0.500  0.500
O  0.034  0.379  0.840
O  0.314  0.314  0.407
O  0.379  0.034  0.840
O  0.621  0.966  0.160
O  0.686  0.686  0.593
O  0.966  0.621  0.160

Computed properties:
Final energy   -4.90 eV/atom


Entry 24:
Compound: SrLaSe2
Source: Alexandria
Functional: PBE
Structure: optimized geometry

a = 7.991 Å, b = 7.991 Å, c = 7.991 Å
α = 30.97°, β = 30.97°, γ = 30.97°
Atoms (fractional coordinates):
Sr  0.000  0.000  0.000
La  0.174  0.174  0.174
Se  0.585  0.585  0.585
Se  0.757  0.757  0.757

Computed properties:
E above lowest polymorph   100 meV per atom


Entry 25:
Compound: HfTaBiO6
Source: Alexandria
Functional: PBE
Structure: optimized geometry

a = 5.427 Å, b = 5.427 Å, c = 9.907 Å
α = 90.00°, β = 90.00°, γ = 120.00°
Atoms (fractional coordinates):
Hf  0.333  0.667  0.250
Hf  0.667  0.333  0.750
Ta  0.333  0.667  0.750
Ta  0.667  0.333  0.250
Bi  0.000  0.000  0.000
Bi  0.000  0.000  0.500
O  0.011  0.369  0.640
O  0.011  0.642  0.860
O  0.358  0.369  0.860
O  0.358  0.989  0.640
O  0.369  0.011  0.140
O  0.369  0.358  0.360
O  0.631  0.642  0.640
O  0.631  0.989  0.860
O  0.642  0.011  0.360
O  0.642  0.631  0.140
O  0.989  0.358  0.140
O  0.989  0.631  0.360

Computed properties:
Final energy   -8.80 eV/atom


Entry 26:
Compound: K2MgZn
Source: Alexandria
Functional: PBE
Structure: optimized geometry

a = 3.903 Å, b = 5.016 Å, c = 7.946 Å
α = 90.00°, β = 90.81°, γ = 90.00°
Atoms (fractional coordinates):
K  0.004  0.000  0.263
K  0.996  0.000  0.737
Mg  0.500  0.500  0.000
Zn  0.500  0.500  0.500

Computed properties:
Energy of formation from the pure elements   0.24 eV per atom
E above lowest polymorph   128 meV per atom


Entry 27:
Compound: Cr2PSe2
Source: Alexandria
Functional: PBE
Structure: optimized geometry

a = 7.106 Å, b = 7.106 Å, c = 3.337 Å
α = 90.00°, β = 90.00°, γ = 90.00°
Atoms (fractional coordinates):
Cr  0.158  0.342  0.000
Cr  0.342  0.842  0.000
Cr  0.658  0.158  0.000
Cr  0.842  0.658  0.000
P  0.000  0.000  0.000
P  0.500  0.500  0.000
Se  0.145  0.645  0.500
Se  0.355  0.145  0.500
Se  0.645  0.855  0.500
Se  0.855  0.355  0.500

Computed properties:
E above lowest polymorph   0 meV per atom